Computed, not measured: an optimized crystal structure of CeSc2H at the GGA-PBE level of DFT.

```
12
Lattice="3.152 0.000 0.000 -1.576 2.729 0.000 0.000 0.000 26.137" Properties=species:S:1:pos:R:3 pbc="T T T"
Ce 0.000 0.000 0.000
Ce 0.000 1.820 17.425
Ce 1.576 0.910 8.712
Sc 0.000 0.000 3.101
Sc 0.000 0.000 23.036
Sc 0.000 1.820 14.324
Sc 0.000 1.820 20.526
Sc 1.576 0.910 5.611
Sc 1.576 0.910 11.814
H 0.000 0.000 13.069
H 0.000 1.820 4.356
H 1.576 0.910 21.781
```

Output
D(E_F) ... 20.8 states/eV per cell
E_tot ... -5.577 eV/atom
Calculated volume ... 18.7 Å³ per atom
Relative energy among the computed polymorphs ... 0.0 kJ/mol of atoms
Total moment ... 0.000 μB per cell
Space group ... R-3m